[1]
{
  "formula": "CaCdSe2",
  "functional": "meta-GGA SCAN",
  "state": "single point on PBEsol structure",
  "dos_at_fermi_per_ev_atom": 0.117,
  "cell": [[-0.5530, -1.5959, -3.7041], [-2.4804, -2.8121, 1.5819], [-4.5087, 3.5058, -0.8373]],
  "species": ["Ca", "Se", "Se", "Cd"],
  "fractional_positions": [[0.5000, 0.6245, 0.0000], [0.0000, 0.1245, 0.0000], [0.5000, 0.6250, 0.5000], [0.0000, 0.1261, 0.5000]]
}

***

[2]
{
  "formula": "SiRuI2N",
  "functional": "meta-GGA SCAN",
  "state": "single point on PBEsol structure",
  "dos_at_fermi_per_ev_atom": 0.583,
  "cell": [[3.2669, 0.0000, 0.0000], [0.0000, 5.3546, 0.0000], [0.0000, 0.0000, 5.3546]],
  "species": ["I", "I", "Ru", "Si", "N"],
  "fractional_positions": [[0.0000, 0.0000, 0.5000], [0.0000, 0.5000, 0.0000], [0.5000, 0.5000, 0.5000], [0.0000, 0.0000, 0.0000], [0.5000, 0.0000, 0.0000]]
}

***

no.,ΔE_f (raw) (eV/atom)
1,-1.41
2,0.90